Sm2Te2Se: optimized geometry, GGA-PBE.

Results
- ΔE_f (raw) (eV/atom) = -1.48
- symmetry = P2_1/m (11)

Unit cell a=4.5822 b=6.2723 c=12.1900 alpha=101.25 beta=90.00 gamma=90.00
Last column: nearest neighbours and their distance in Å.
Positions (direct):
Sm: 0.7500 0.2819 0.5908  6 Te 3.04-3.28
Sm: 0.2500 0.9074 0.8530  3 Se 2.80-2.85
Sm: 0.2500 0.7181 0.4092  6 Te 3.04-3.28
Sm: 0.7500 0.0926 0.1470  3 Se 2.80-2.85
Se: 0.7500 0.7644 0.9494  3 Sm 2.80-2.85
Se: 0.2500 0.2356 0.0506  3 Sm 2.80-2.85
Te: 0.2500 0.3524 0.7581  3 Sm 3.04-3.22
Te: 0.7500 0.7901 0.6057  4 Sm 3.13-3.28
Te: 0.7500 0.6476 0.2419  3 Sm 3.04-3.22
Te: 0.2500 0.2099 0.3943  4 Sm 3.13-3.28



RbBe2AgI6: optimized geometry, GGA-PBE.

Results
- ΔE_f (raw) (eV/atom) = -0.67
- symmetry = C2/c (15)

Unit cell a=11.5329 b=11.5329 c=6.6841 alpha=96.70 beta=96.70 gamma=98.78
Last column: nearest neighbours and their distance in Å.
Positions (direct):
I: 0.7054 0.4969 0.5571  1 Be 2.46
I: 0.2690 0.1546 0.2815  2 Be 2.44-2.46
I: 0.3156 0.9743 0.7880  1 Be 2.35
I: 0.8454 0.7310 0.2185  2 Be 2.44-2.46
I: 0.6844 0.0257 0.2120  1 Be 2.35
I: 0.7310 0.8454 0.7185  2 Be 2.44-2.46
I: 0.5031 0.2946 0.9429  1 Be 2.46
I: 0.9743 0.3156 0.2880  1 Be 2.35
I: 0.1546 0.2690 0.7815  2 Be 2.44-2.46
I: 0.4969 0.7054 0.0571  1 Be 2.46
I: 0.0257 0.6844 0.7120  1 Be 2.35
I: 0.2946 0.5031 0.4429  1 Be 2.46
Ag: 0.5070 0.4930 0.2500  4 I 2.88-2.91
Ag: 0.4930 0.5070 0.7500  4 I 2.88-2.91
Rb: 0.8149 0.1851 0.7500  8 I 3.86-4.28
Rb: 0.1851 0.8149 0.2500  8 I 3.86-4.28
Be: 0.1692 0.3087 0.4305  4 I 2.35-2.46
Be: 0.8308 0.6913 0.5695  4 I 2.35-2.46
Be: 0.3087 0.1692 0.9305  4 I 2.35-2.46
Be: 0.6913 0.8308 0.0695  4 I 2.35-2.46



Sr2TlZn: optimized geometry, GGA-PBE.

Results
- VASP energy (eV/atom) = -1.887
- symmetry = R-3m (166)

Unit cell a=9.7384 b=9.7384 c=9.7384 alpha=25.13 beta=25.13 gamma=25.13
Last column: nearest neighbours and their distance in Å.
Positions (direct):
Zn: 0.7500 0.7500 0.7500  6 Sr 3.28
Tl: 0.2500 0.2500 0.2500  6 Sr 3.52
Sr: 0.4941 0.4941 0.4941  3 Zn 3.28, 3 Tl 3.52
Sr: 0.0059 0.0059 0.0059  3 Zn 3.28, 3 Tl 3.52



SiTc2Mo: optimized geometry, GGA-PBE.

Results
- ΔE_f (raw) (eV/atom) = -0.02
- symmetry = C2/m (12)

Unit cell a=4.9239 b=5.0119 c=2.7949 alpha=76.91 beta=83.87 gamma=117.48
Last column: nearest neighbours and their distance in Å.
Positions (direct):
Tc: 0.0000 0.0000 0.0000  2 Si 2.58, 2 Mo 2.58, 4 Tc 2.70-2.79
Tc: 0.5000 0.0000 0.5000  2 Mo 2.58, 2 Si 2.58, 4 Tc 2.70-2.79
Mo: 0.0000 0.5000 0.5000  4 Tc 2.58, 2 Si 2.70, 2 Mo 2.79
Si: 0.5000 0.5000 0.0000  4 Tc 2.58, 2 Mo 2.70, 2 Si 2.79



SbWSe2: optimized geometry, GGA-PBE.

Results
- ΔE_f (raw) (eV/atom) = 0.77
- symmetry = F-43m (216)

Unit cell a=4.7789 b=4.7789 c=4.7789 alpha=60.00 beta=60.00 gamma=60.00
Last column: nearest neighbours and their distance in Å.
Positions (direct):
Se: 0.2500 0.2500 0.2500  4 Se 2.93, 4 Sb 2.93
Se: 0.0000 0.0000 0.0000  4 W 2.93, 4 Se 2.93
W: 0.7500 0.7500 0.7500  4 Se 2.93, 4 Sb 2.93
Sb: 0.5000 0.5000 0.5000  4 Se 2.93, 4 W 2.93



Pr3Sm2Ho6Pu: optimized geometry, GGA-PBE.

Results
- VASP energy (eV/atom) = -5.421
- symmetry = C2/m (12)

Unit cell a=6.2154 b=6.2154 c=11.7499 alpha=95.06 beta=95.06 gamma=120.02
Last column: nearest neighbours and their distance in Å.
Positions (direct):
Sm: 0.6666 0.3334 0.0000  6 Ho 3.52, 3 Pu 3.59, 3 Sm 3.59
Sm: 0.3334 0.6666 0.0000  6 Ho 3.52, 3 Pu 3.59, 3 Sm 3.59
Ho: 0.4103 0.0816 0.2452  1 Pu 3.49, 2 Sm 3.52, 6 Ho 3.54-3.61, 3 Pr 3.59-3.62
Ho: 0.5897 0.9184 0.7548  1 Pu 3.49, 2 Sm 3.52, 6 Ho 3.54-3.61, 3 Pr 3.59-3.62
Ho: 0.7528 0.7528 0.2454  1 Pu 3.50, 2 Sm 3.52, 6 Ho 3.54-3.61, 3 Pr 3.60-3.62
Ho: 0.9184 0.5897 0.7548  1 Pu 3.49, 2 Sm 3.52, 6 Ho 3.54-3.61, 3 Pr 3.59-3.62
Ho: 0.2472 0.2472 0.7546  1 Pu 3.50, 2 Sm 3.52, 6 Ho 3.54-3.61, 3 Pr 3.60-3.62
Ho: 0.0816 0.4103 0.2452  1 Pu 3.49, 2 Sm 3.52, 6 Ho 3.54-3.61, 3 Pr 3.59-3.62
Pr: 0.1671 0.8329 0.5000  6 Pr 3.58-3.60, 6 Ho 3.59-3.62
Pr: 0.5000 0.5000 0.5000  6 Pr 3.58-3.59, 6 Ho 3.59-3.62
Pr: 0.8329 0.1671 0.5000  6 Pr 3.58-3.60, 6 Ho 3.59-3.62
Pu: 0.0000 0.0000 0.0000  6 Ho 3.49-3.50, 6 Sm 3.59



Cs2TlSnAu: optimized geometry, GGA-PBE.

Results
- VASP energy (eV/atom) = -2.277
- symmetry = P4/mmm (123)

Unit cell a=6.9268 b=6.9268 c=5.1982 alpha=90.00 beta=90.00 gamma=90.00
Last column: nearest neighbours and their distance in Å.
Positions (direct):
Cs: 0.5000 0.0000 0.0000  2 Au 3.46
Cs: 0.0000 0.5000 0.0000  2 Au 3.46
Au: 0.0000 0.0000 0.0000  2 Sn 2.60
Sn: 0.0000 0.0000 0.5000  2 Au 2.60
Tl: 0.5000 0.5000 0.5000  8 Cs 4.33



no.,V (Å³/f.u.)
1,172
2,432
3,147
4,58
5,77
6,387
7,249